Record 1
## Rb3Tb3AlS8 (GGA-PBE)

Data for Rb3Tb3AlS8 after structural relaxation.

a = 7.912 Å, b = 7.916 Å, c = 9.103 Å
α = 115.81°, β = 90.00°, γ = 119.98°
Fractional coordinates of all 15 atoms:
S1 0.755 0.966 0.678
S2 0.245 0.034 0.322
S3 0.788 0.034 0.322
S4 0.788 0.577 0.322
S5 0.731 0.462 0.694
S6 0.212 0.966 0.678
S7 0.212 0.423 0.678
S8 0.269 0.538 0.306
Rb1 0.500 0.500 0.000
Rb2 0.000 0.500 0.000
Rb3 0.000 0.000 0.000
Tb1 0.500 0.500 0.500
Tb2 0.500 0.000 0.500
Tb3 0.000 0.500 0.500
Al1 0.000 0.000 0.500

Results
The value obtained for the spin magnetization is 0.000 μB/atom. As for the electronic total energy: -76.853 eV/f.u. Its space group is R-3m. For the density of states at the Fermi level, the calculation gives 12.89 states/eV/f.u. Its uncorrected formation energy is -1.553 eV per atom.

=====

Record 2
## RbAlTeS4 (GGA-PBE)

Data for RbAlTeS4 after structural relaxation.

a = 6.921 Å, b = 7.008 Å, c = 9.134 Å
α = 90.00°, β = 108.33°, γ = 90.00°
Fractional coordinates of all 14 atoms:
S1 0.041 0.502 0.300
S2 0.041 0.998 0.300
S3 0.483 0.750 0.208
S4 0.528 0.250 0.412
S5 0.959 0.498 0.700
S6 0.959 0.002 0.700
S7 0.517 0.250 0.792
S8 0.472 0.750 0.588
Al1 0.264 0.750 0.339
Al2 0.736 0.250 0.661
Te1 0.231 0.250 0.496
Te2 0.769 0.750 0.504
Rb1 0.730 0.750 0.954
Rb2 0.270 0.250 0.046

Results
The value obtained for the spin magnetization is 0.000 μB/atom. As for the electronic total energy: -28.827 eV/f.u. Its space group is P2_1/m. Its uncorrected formation energy is -0.638 eV per atom.

=====

Record 3
## RbAlTe2S (GGA-PBE)

Data for RbAlTe2S after structural relaxation.

a = 5.792 Å, b = 4.805 Å, c = 5.792 Å
α = 90.00°, β = 90.00°, γ = 90.00°
Fractional coordinates of all 5 atoms:
Al1 0.000 0.500 0.000
Te1 0.000 0.000 0.500
Te2 0.500 0.000 0.000
Rb1 0.500 0.500 0.500
S1 0.000 0.000 0.000

Results
The value obtained for the spin magnetization is 0.000 μB/atom. As for the electronic total energy: -15.491 eV/f.u. Its space group is P4/mmm. For the density of states at the Fermi level, the calculation gives 3.77 states/eV/f.u. Its uncorrected formation energy is -0.074 eV per atom.

=====

Record 4
## Rb2AlTeS4 (GGA-PBE)

Data for Rb2AlTeS4 after structural relaxation.

a = 6.724 Å, b = 8.197 Å, c = 11.652 Å
α = 83.20°, β = 73.23°, γ = 65.79°
Fractional coordinates of all 16 atoms:
Te1 0.750 0.500 0.500
Te2 0.000 0.000 0.000
S1 0.353 0.795 0.083
S2 0.897 0.705 0.583
S3 0.853 0.795 0.917
S4 0.230 0.205 0.917
S5 0.397 0.705 0.417
S6 0.564 0.205 0.083
S7 0.186 0.295 0.417
S8 0.520 0.295 0.583
Al1 0.250 0.500 0.500
Al2 0.500 0.000 0.000
Rb1 0.574 0.500 0.852
Rb2 0.824 0.000 0.352
Rb3 0.176 0.000 0.648
Rb4 0.926 0.500 0.148

Results
The value obtained for the spin magnetization is 0.000 μB/atom. As for the electronic total energy: -31.087 eV/f.u. Its space group is Fddd. For the density of states at the Fermi level, the calculation gives 1.70 states/eV/f.u. Its uncorrected formation energy is -0.720 eV per atom.